[1]
## AcCuGe3 (PBE-GGA)

Data for a geometry-optimized AcCuGe3 structure.

VASP energy, eV per atom: -4.75
Symmetry: I4mm (107)

a = 5.845 Å, b = 5.845 Å, c = 5.845 Å
α = 132.94°, β = 132.94°, γ = 68.75°
Atoms (fractional coordinates):
Ac (0.000, 0.000, 0.000)
Cu (0.643, 0.643, 0.000)
Ge (0.249, 0.749, 0.500)
Ge (0.387, 0.387, 0.000)
Ge (0.749, 0.249, 0.500)

[2]
## Ac4Cu3Ge (PBE-GGA)

Data for a geometry-optimized Ac4Cu3Ge structure.

VASP energy, eV per atom: -4.13
Symmetry: Pm-3m (221)

a = 6.362 Å, b = 6.362 Å, c = 6.362 Å
α = 90.00°, β = 90.00°, γ = 90.00°
Atoms (fractional coordinates):
Ac (0.000, 0.000, 0.000)
Ac (0.000, 0.500, 0.500)
Ac (0.500, 0.000, 0.500)
Ac (0.500, 0.500, 0.000)
Cu (0.000, 0.000, 0.500)
Cu (0.000, 0.500, 0.000)
Cu (0.500, 0.000, 0.000)
Ge (0.500, 0.500, 0.500)

[3]
## AcCuHg (PBE-GGA)

Data for a geometry-optimized AcCuHg structure.

E above lowest polymorph, eV per formula unit: 1.126
ΔH_f (0 K), meV per atom: 167.2
Symmetry: F-43m (216)

a = 5.176 Å, b = 5.176 Å, c = 5.176 Å
α = 60.00°, β = 60.00°, γ = 60.00°
Atoms (fractional coordinates):
Ac (0.000, 0.000, 0.000)
Cu (0.750, 0.750, 0.750)
Hg (0.250, 0.250, 0.250)

[4]
## AcCuHg (PBE-GGA)

Data for a geometry-optimized AcCuHg structure.

E above lowest polymorph, eV per formula unit: 0.000
ΔH_f (0 K), meV per atom: -208.1
Symmetry: F-43m (216)

a = 4.922 Å, b = 4.922 Å, c = 4.922 Å
α = 60.00°, β = 60.00°, γ = 60.00°
Atoms (fractional coordinates):
Ac (0.000, 0.000, 0.000)
Cu (0.250, 0.250, 0.250)
Hg (0.500, 0.500, 0.500)